# RbCuAs2Se4 | the Alexandria database | PBE | optimized geometry
# V = 218.1 Å³/f.u.
# Formation energy from raw total energies = -0.199 eV per atom
# Total magnetization = 0.000 μB/f.u.
data_RbCuAs2Se4
_cell_length_a 8.004
_cell_length_b 10.357
_cell_length_c 10.523
_cell_angle_alpha 90.00
_cell_angle_beta 90.00
_cell_angle_gamma 90.00
_symmetry_space_group_name_H-M 'F m m 2'
_symmetry_Int_Tables_number 42
_symmetry_space_group_name_Hall 'F 2 -2'
loop_
_atom_site_label
_atom_site_type_symbol
_atom_site_fract_x
_atom_site_fract_y
_atom_site_fract_z
Rb1 Rb 0.000 0.000 0.000
Cu1 Cu 0.000 0.000 0.573
As1 As 0.250 0.250 0.290
Se1 Se 0.000 0.199 0.440
Se2 Se 0.225 0.000 0.726